AlSn2Pb2: relaxed, PBE.

The structure in POSCAR format:
```
AlSn2Pb2
1.0
7.307 0.000 0.000
0.000 7.307 0.000
0.000 0.000 5.413
Al Sn Pb
2 4 4
Direct
0.000 0.000 0.000
0.500 0.500 0.000
0.142 0.358 0.000
0.358 0.858 0.000
0.642 0.142 0.000
0.858 0.642 0.000
0.187 0.687 0.500
0.313 0.187 0.500
0.687 0.813 0.500
0.813 0.313 0.500
```

Computed properties:
Magnetization   0.00 μB per formula unit
E_tot   -3.6809 eV/atom
E_form   152 meV per atom
Relative energy among the computed polymorphs   0 meV/atom